Model a:
This record from OQMD describes a relaxed Na2LiTcF6 crystal. The functional is GGA-PBE.

Cell: 5.446 5.446 5.446 Å, 121.23 121.23 87.87°
Fractional positions:
Li1 0.500 0.500 0.000
F1 0.259 0.259 0.000
F2 0.330 0.822 0.152
F3 0.822 0.670 0.492
F4 0.741 0.741 0.000
F5 0.670 0.178 0.848
F6 0.178 0.330 0.508
Tc1 0.000 0.000 0.000
Na1 0.750 0.250 0.500
Na2 0.250 0.750 0.500

Values from the calculation:
total moment = 0.20 μB per atom

=====

Model b:
This record from OQMD describes a relaxed Na2LiTcF6 crystal. The functional is GGA-PBE.

Cell: 5.468 5.468 5.468 Å, 119.79 119.79 90.37°
Fractional positions:
F1 0.242 0.242 0.485
F2 0.243 0.243 0.000
F3 0.758 0.242 0.000
F4 0.242 0.758 0.000
F5 0.757 0.757 0.000
F6 0.758 0.758 0.515
Na1 0.250 0.750 0.500
Na2 0.750 0.250 0.500
Tc1 0.500 0.500 0.000
Li1 0.000 0.000 0.000

Values from the calculation:
total moment = 0.20 μB per atom

=====

Energies relative to the most stable structure, in meV/atom: model a 0; model b 40.